(1)
Compound: TlPd2Se3
Source: Alexandria
Functional: PBE
Structure: optimized geometry

Structure (extended XYZ):
```
12
Lattice="7.5141 0.0000 0.0000 -3.7571 6.5074 0.0000 0.0000 0.0000 5.9753" Properties=species:S:1:pos:R:3 pbc="T T T"
Tl 0.0000 4.3383 2.1303
Tl 3.7571 2.1691 3.8450
Pd 0.0000 0.0000 0.0000
Pd -1.8785 3.2537 0.0000
Pd 3.7571 0.0000 0.0000
Pd 1.8785 3.2537 0.0000
Se 0.0000 2.2083 4.7088
Se -1.8446 5.4033 4.7088
Se 1.9125 1.1041 1.2665
Se 1.8446 5.4033 4.7088
Se 5.6017 1.1041 1.2665
Se 3.7571 4.2991 1.2665
```

DOS at the Fermi energy, states/eV per cell: 0.1
Magnetization, μB/f.u.: 0.00
SG: P-3m1
E_form (uncorrected), eV/atom: -0.389
E_tot, eV/atom: -4.26
Energy above the lowest structure with this stoichiometry, meV/atom: 0.0
Volume, A^3/atom: 24.35

***

(2)
Compound: Tl2PdSe4
Source: Alexandria
Functional: PBE
Structure: optimized geometry

Structure (extended XYZ):
```
14
Lattice="6.1403 0.0000 0.0000 3.0563 8.4440 0.0000 1.9823 3.4719 8.5848" Properties=species:S:1:pos:R:3 pbc="T T T"
Tl 0.0000 0.0000 0.0000
Tl 3.7635 7.7778 6.2110
Tl 5.1132 3.1250 1.8177
Tl 7.3954 5.6463 3.8888
Pd 4.2067 5.7556 0.7913
Pd 4.9931 4.9557 6.9145
Se 1.9919 4.6078 0.7788
Se 2.2908 2.2031 0.5959
Se 3.4148 3.2932 5.8115
Se 4.5393 6.9094 3.0244
Se 6.6442 8.6471 7.0307
Se 5.9352 7.5353 1.1883
Se 5.7315 3.2276 5.2390
Se 7.0585 6.2596 7.0913
```

Magnetization, μB/f.u.: 0.00
SG: P1
E_form (uncorrected), eV/atom: -0.224
E_tot, eV/atom: -3.63
Volume, A^3/atom: 31.79

***

(3)
Compound: Tl5PdSe5
Source: Alexandria
Functional: PBE
Structure: optimized geometry

Structure (extended XYZ):
```
11
Lattice="7.3214 -2.8975 0.0000 7.3214 2.8975 0.0000 -3.1574 0.0000 7.2991" Properties=species:S:1:pos:R:3 pbc="T T T"
Tl 0.0000 0.0000 0.0000
Tl 3.6411 0.0000 1.6073
Tl 3.0505 0.0000 5.4324
Tl 8.4348 0.0000 1.8667
Tl 7.8442 0.0000 5.6918
Pd -1.5787 0.0000 3.6495
Se -0.5859 0.0000 5.9564
Se 0.8746 0.0000 3.0236
Se 5.7427 0.0000 3.6495
Se 10.6107 0.0000 4.2755
Se 12.0712 0.0000 1.3427
```

DOS at the Fermi energy, states/eV per cell: 4.9
Magnetization, μB/f.u.: 0.00
SG: C2/m
E_form (uncorrected), eV/atom: -0.236
E_tot, eV/atom: -3.37
Volume, A^3/atom: 28.15

***

(4)
Compound: Tl2Pd3Se4
Source: Alexandria
Functional: PBE
Structure: optimized geometry

Structure (extended XYZ):
```
9
Lattice="0.0000 5.6849 6.2853 3.1764 0.0000 6.2853 3.1764 5.6849 0.0000" Properties=species:S:1:pos:R:3 pbc="T T T"
Tl 3.1764 5.6849 1.7297
Tl 3.1764 5.6849 10.8409
Pd 1.5882 2.8424 0.0000
Pd 1.5882 2.8424 6.2853
Pd 3.1764 5.6849 6.2853
Se 3.1764 3.8256 4.6327
Se 3.1764 3.8256 7.9379
Se 3.1764 7.5441 4.6327
Se 3.1764 7.5441 7.9379
```

DOS at the Fermi energy, states/eV per cell: 0.1
Magnetization, μB/f.u.: 0.00
SG: Fmmm
E_form (uncorrected), eV/atom: -0.375
E_tot, eV/atom: -4.18
Volume, A^3/atom: 25.22

***

(5)
Compound: TlPd2Se
Source: Alexandria
Functional: PBE
Structure: optimized geometry

Structure (extended XYZ):
```
12
Lattice="3.9711 0.0000 0.0000 -1.9855 3.4391 0.0000 0.0000 0.0000 18.0570" Properties=species:S:1:pos:R:3 pbc="T T T"
Tl 0.0000 0.0000 0.0000
Tl 0.0000 2.2927 12.0380
Tl 1.9856 1.1464 6.0190
Pd 0.0000 0.0000 10.4164
Pd 0.0000 0.0000 13.7404
Pd 0.0000 2.2927 4.3974
Pd 0.0000 2.2927 7.7214
Pd 1.9856 1.1464 1.7024
Pd 1.9856 1.1464 16.4354
Se 0.0000 0.0000 3.1393
Se 0.0000 2.2927 15.1773
Se 1.9856 1.1464 9.1582
```

DOS at the Fermi energy, states/eV per cell: 4.2
Magnetization, μB/f.u.: 0.00
SG: R3m
E_form (uncorrected), eV/atom: -0.091
E_tot, eV/atom: -4.15
Energy above the lowest structure with this stoichiometry, meV/atom: 174.6
Volume, A^3/atom: 20.55

***

(6)
Compound: TlPd2Se
Source: Alexandria
Functional: PBE
Structure: optimized geometry

Structure (extended XYZ):
```
12
Lattice="4.0574 0.0000 0.0000 -2.0287 3.5138 0.0000 0.0000 0.0000 17.1991" Properties=species:S:1:pos:R:3 pbc="T T T"
Tl 0.0000 0.0000 0.0000
Tl 0.0000 2.3425 11.4661
Tl 2.0287 1.1713 5.7330
Pd 0.0000 0.0000 4.0884
Pd 0.0000 0.0000 13.1107
Pd 0.0000 2.3425 7.3777
Pd 0.0000 2.3425 15.5545
Pd 2.0287 1.1713 1.6447
Pd 2.0287 1.1713 9.8214
Se 0.0000 0.0000 8.5996
Se 0.0000 2.3425 2.8665
Se 2.0287 1.1713 14.3326
```

DOS at the Fermi energy, states/eV per cell: 8.5
Magnetization, μB/f.u.: 0.00
SG: R-3m
E_form (uncorrected), eV/atom: -0.054
E_tot, eV/atom: -4.11
Energy above the lowest structure with this stoichiometry, meV/atom: 212.1
Volume, A^3/atom: 20.43

***

(7)
Compound: TlPd2Se
Source: Alexandria
Functional: PBE
Structure: optimized geometry

Structure (extended XYZ):
```
16
Lattice="6.6790 0.0000 0.0000 0.0000 6.6790 0.0000 0.0000 0.0000 6.6790" Properties=species:S:1:pos:R:3 pbc="T T T"
Tl 0.0000 0.0000 0.0000
Tl 0.0000 3.3395 3.3395
Tl 3.3395 0.0000 3.3395
Tl 3.3395 3.3395 0.0000
Pd 1.6697 1.6697 1.6697
Pd 1.6697 1.6697 5.0092
Pd 1.6697 5.0092 1.6697
Pd 1.6697 5.0092 5.0092
Pd 5.0092 1.6697 1.6697
Pd 5.0092 1.6697 5.0092
Pd 5.0092 5.0092 1.6697
Pd 5.0092 5.0092 5.0092
Se 0.0000 0.0000 3.3395
Se 0.0000 3.3395 0.0000
Se 3.3395 0.0000 0.0000
Se 3.3395 3.3395 3.3395
```

DOS at the Fermi energy, states/eV per cell: 16.5
Magnetization, μB/f.u.: 0.00
SG: Fm-3m
E_form (uncorrected), eV/atom: -0.049
E_tot, eV/atom: -4.11
Energy above the lowest structure with this stoichiometry, meV/atom: 216.6
Volume, A^3/atom: 18.62

***

(8)
Compound: Tl2PdSe
Source: Alexandria
Functional: PBE
Structure: optimized geometry

Structure (extended XYZ):
```
16
Lattice="7.3077 0.0000 0.0000 0.0000 7.3077 0.0000 0.0000 0.0000 7.3077" Properties=species:S:1:pos:R:3 pbc="T T T"
Tl 1.8269 1.8269 1.8269
Tl 1.8269 1.8269 5.4808
Tl 1.8269 5.4808 1.8269
Tl 1.8269 5.4808 5.4808
Tl 5.4808 1.8269 1.8269
Tl 5.4808 1.8269 5.4808
Tl 5.4808 5.4808 1.8269
Tl 5.4808 5.4808 5.4808
Pd 0.0000 0.0000 0.0000
Pd 0.0000 3.6539 3.6539
Pd 3.6539 0.0000 3.6539
Pd 3.6539 3.6539 0.0000
Se 0.0000 0.0000 3.6539
Se 0.0000 3.6539 0.0000
Se 3.6539 0.0000 0.0000
Se 3.6539 3.6539 3.6539
```

DOS at the Fermi energy, states/eV per cell: 6.3
Magnetization, μB/f.u.: 0.00
SG: Fm-3m
E_form (uncorrected), eV/atom: 0.070
E_tot, eV/atom: -3.28
Energy above the lowest structure with this stoichiometry, meV/atom: 344.5
Volume, A^3/atom: 24.39